No. 1
Entry from Alexandria via LeMat-Bulk: an optimized crystal structure of In2MoRu (PBEsol).

Lattice parameters (Å, degrees): 6.488 6.488 6.488 90.00 90.00 90.00
Space group F-43m (No. 216)
Inequivalent atoms, fractional coordinates:
1 In 0.000 0.000 0.000 [4 per cell]
2 In 0.250 0.250 0.250 [4 per cell]
3 Mo 0.000 0.000 0.500 [4 per cell]
4 Ru 0.250 0.250 0.750 [4 per cell]

Summary:
* density: 10.37 g cm⁻³
* energy of formation: 467.2 meV/atom
* DOS at the Fermi energy: 4.93 states/eV/f.u.

No. 2
Entry from Alexandria via LeMat-Bulk: an optimized crystal structure of InMo6S8 (PBEsol).

Lattice parameters (Å, degrees): 9.1862 9.1862 10.9725 90.00 90.00 120.00
Space group R-3 (No. 148, hexagonal axes)
Inequivalent atoms, fractional coordinates:
1 In 0.0000 0.0000 0.0000 [3 per cell]
2 Mo 0.0177 0.1776 0.3980 [18 per cell]
3 S 0.0000 0.0000 0.2348 [6 per cell]
4 S 0.0082 0.3829 0.2537 [18 per cell]

Summary:
* raw formation energy: -0.7316 eV per atom
* density: 5.88 g cm⁻³
* DOS at the Fermi energy: 9.57 states/eV/f.u.

No. 3
Entry from Alexandria via LeMat-Bulk: an optimized crystal structure of InMoS2 (PBEsol).

Lattice parameters (Å, degrees): 3.1435 3.1435 17.8940 90.00 90.00 120.00
Space group P6_3/mmc (No. 194)
Inequivalent atoms, fractional coordinates:
1 In 0.0000 0.0000 0.0000 [2 per cell]
2 Mo 0.0000 0.0000 0.2500 [2 per cell]
3 S 0.3333 0.6667 0.1621 [4 per cell]

Summary:
* raw formation energy: -0.6474 eV per atom
* density: 5.96 g cm⁻³
* DOS at the Fermi energy: 1.19 states/eV/f.u.

No. 4
Entry from Alexandria via LeMat-Bulk: an optimized crystal structure of InSbMo2 (PBEsol).

Lattice parameters (Å, degrees): 9.909 3.223 4.913 90.00 110.56 90.00
Space group Cm (No. 8)
Inequivalent atoms, fractional coordinates:
1 In 0.000 0.000 0.000 [2 per cell]
2 Sb 0.281 0.500 0.350 [2 per cell]
3 Mo 0.040 0.500 0.527 [2 per cell]
4 Mo 0.241 0.000 0.827 [2 per cell]

Summary:
* raw formation energy: 0.3129 eV per atom
* density: 9.69 g cm⁻³
* DOS at the Fermi energy: 2.76 states/eV/f.u.

No. 5
Entry from Alexandria via LeMat-Bulk: an optimized crystal structure of InSbMo2 (PBEsol).

Lattice parameters (Å, degrees): 3.445 4.578 9.122 90.00 90.00 90.00
Space group Imm2 (No. 44)
Inequivalent atoms, fractional coordinates:
1 In 0.000 0.000 0.000 [2 per cell]
2 Sb 0.000 0.500 0.226 [2 per cell]
3 Mo 0.000 0.000 0.483 [2 per cell]
4 Mo 0.000 0.500 0.760 [2 per cell]

Summary:
* raw formation energy: 0.3806 eV per atom
* density: 9.89 g cm⁻³
* DOS at the Fermi energy: 2.37 states/eV/f.u.

No. 6
Entry from Alexandria via LeMat-Bulk: an optimized crystal structure of InSb2Mo (PBEsol).

Lattice parameters (Å, degrees): 6.040 7.852 3.559 90.00 90.00 90.00
Space group Cmmm (No. 65)
Inequivalent atoms, fractional coordinates:
1 In 0.000 0.000 0.000 [2 per cell]
2 Sb 0.250 0.250 0.500 [4 per cell]
3 Mo 0.000 0.500 0.000 [2 per cell]

Summary:
* raw formation energy: 0.4754 eV per atom
* density: 8.94 g cm⁻³
* DOS at the Fermi energy: 3.38 states/eV/f.u.

No. 7
Entry from Alexandria via LeMat-Bulk: an optimized crystal structure of InSbMo2 (PBEsol).

Lattice parameters (Å, degrees): 3.345 4.968 8.796 90.00 90.00 90.00
Space group Cmmm (No. 65)
Inequivalent atoms, fractional coordinates:
1 In 0.000 0.000 0.000 [2 per cell]
2 Sb 0.000 0.000 0.500 [2 per cell]
3 Mo 0.000 0.500 0.259 [4 per cell]

Summary:
* raw formation energy: 0.5465 eV per atom
* density: 9.73 g cm⁻³
* DOS at the Fermi energy: 3.69 states/eV/f.u.

No. 8
Entry from Alexandria via LeMat-Bulk: an optimized crystal structure of InSbMo (PBEsol).

Lattice parameters (Å, degrees): 6.511 6.511 6.511 90.00 90.00 90.00
Space group F-43m (No. 216)
Inequivalent atoms, fractional coordinates:
1 In 0.000 0.000 0.000 [4 per cell]
2 Sb 0.250 0.250 0.250 [4 per cell]
3 Mo 0.000 0.000 0.500 [4 per cell]

Summary:
* raw formation energy: 0.8799 eV per atom
* density: 8.00 g cm⁻³
* DOS at the Fermi energy: 1.02 states/eV/f.u.

No. 9
Entry from Alexandria via LeMat-Bulk: an optimized crystal structure of InSbMo2 (PBEsol).

Lattice parameters (Å, degrees): 3.183 3.183 7.936 90.00 90.00 90.00
Space group P4mm (No. 99)
Inequivalent atoms, fractional coordinates:
1 In 0.000 0.000 0.000 [1 per cell]
2 Sb 0.500 0.500 0.629 [1 per cell]
3 Mo 0.000 0.000 0.401 [1 per cell]
4 Mo 0.500 0.500 0.230 [1 per cell]

Summary:
* raw formation energy: 0.1413 eV per atom
* density: 8.85 g cm⁻³
* DOS at the Fermi energy: 1.02 states/eV/f.u.

No. 10
Entry from Alexandria via LeMat-Bulk: an optimized crystal structure of InSbMo2 (PBEsol).

Lattice parameters (Å, degrees): 8.874 3.110 5.352 90.00 101.45 90.00
Space group C2/m (No. 12)
Inequivalent atoms, fractional coordinates:
1 In 0.000 0.000 0.000 [2 per cell]
2 Sb 0.000 0.500 0.500 [2 per cell]
3 Mo 0.246 0.000 0.744 [4 per cell]

Summary:
* raw formation energy: 0.4429 eV per atom
* density: 9.83 g cm⁻³
* DOS at the Fermi energy: 2.78 states/eV/f.u.

No. 11
Entry from Alexandria via LeMat-Bulk: an optimized crystal structure of InMoSe2 (PBEsol).

Lattice parameters (Å, degrees): 3.225 5.177 9.677 90.00 90.00 90.00
Space group Cmmm (No. 65)
Inequivalent atoms, fractional coordinates:
1 In 0.000 0.000 0.000 [2 per cell]
2 Mo 0.000 0.000 0.500 [2 per cell]
3 Se 0.000 0.500 0.298 [4 per cell]

Summary:
* raw formation energy: 0.1300 eV per atom
* density: 7.58 g cm⁻³
* DOS at the Fermi energy: 3.43 states/eV/f.u.

No. 12
Entry from Alexandria via LeMat-Bulk: an optimized crystal structure of In2Mo15Se19 (PBEsol).

Lattice parameters (Å, degrees): 9.5329 9.5329 58.0345 90.00 90.00 120.00
Space group R-3c (No. 167, hexagonal axes)
Inequivalent atoms, fractional coordinates:
1 In 0.0000 0.0000 0.1086 [12 per cell]
2 Mo 0.0000 0.1611 0.2500 [18 per cell]
3 Mo 0.0137 0.1668 0.7108 [36 per cell]
4 Mo 0.0213 0.1712 0.9803 [36 per cell]
5 Se 0.0000 0.0000 0.0543 [12 per cell]
6 Se 0.0000 0.0000 0.1762 [12 per cell]
7 Se 0.0000 0.3129 0.7500 [18 per cell]
8 Se 0.0030 0.3782 0.6830 [36 per cell]
9 Se 0.0058 0.3714 0.9521 [36 per cell]

Summary:
* raw formation energy: -0.5127 eV per atom
* density: 6.91 g cm⁻³
* DOS at the Fermi energy: 20.96 states/eV/f.u.

No. 13
Entry from Alexandria via LeMat-Bulk: an optimized crystal structure of In2MoSe (PBEsol).

Lattice parameters (Å, degrees): 10.775 3.093 5.043 90.00 106.59 90.00
Space group Cm (No. 8)
Inequivalent atoms, fractional coordinates:
1 In 0.000 0.000 0.000 [2 per cell]
2 In 0.206 0.000 0.642 [2 per cell]
3 Mo 0.463 0.000 0.501 [2 per cell]
4 Se 0.294 0.500 0.225 [2 per cell]

Summary:
* raw formation energy: 0.0057 eV per atom
* density: 8.34 g cm⁻³
* DOS at the Fermi energy: 1.51 states/eV/f.u.

No. 14
Entry from Alexandria via LeMat-Bulk: an optimized crystal structure of InMo2Se (PBEsol).

Lattice parameters (Å, degrees): 3.932 3.932 4.472 90.00 90.00 90.00
Space group P4/mmm (No. 123)
Inequivalent atoms, fractional coordinates:
1 In 0.000 0.000 0.000 [1 per cell]
2 Mo 0.000 0.500 0.500 [2 per cell]
3 Se 0.500 0.500 0.000 [1 per cell]

Summary:
* raw formation energy: 0.6871 eV per atom
* density: 9.26 g cm⁻³
* DOS at the Fermi energy: 2.98 states/eV/f.u.

No. 15
Entry from Alexandria via LeMat-Bulk: an optimized crystal structure of InMo2Se (PBEsol).

Lattice parameters (Å, degrees): 3.232 4.730 9.642 90.00 90.00 90.00
Space group Cmm2 (No. 35)
Inequivalent atoms, fractional coordinates:
1 In 0.000 0.000 0.000 [2 per cell]
2 Mo 0.000 0.000 0.537 [2 per cell]
3 Mo 0.000 0.500 0.745 [2 per cell]
4 Se 0.000 0.500 0.323 [2 per cell]

Summary:
* raw formation energy: 0.2714 eV per atom
* density: 8.69 g cm⁻³
* DOS at the Fermi energy: 2.92 states/eV/f.u.

No. 16
Entry from Alexandria via LeMat-Bulk: an optimized crystal structure of In2MoSe (PBEsol).

Lattice parameters (Å, degrees): 3.091 3.091 8.669 90.00 90.00 90.00
Space group P4mm (No. 99)
Inequivalent atoms, fractional coordinates:
1 In 0.000 0.000 0.000 [1 per cell]
2 In 0.500 0.500 0.295 [1 per cell]
3 Mo 0.000 0.000 0.529 [1 per cell]
4 Se 0.500 0.500 0.683 [1 per cell]

Summary:
* raw formation energy: -0.0576 eV per atom
* density: 8.11 g cm⁻³
* DOS at the Fermi energy: 2.70 states/eV/f.u.

No. 17
Entry from Alexandria via LeMat-Bulk: an optimized crystal structure of InMo2Se (PBEsol).

Lattice parameters (Å, degrees): 5.591 8.644 3.032 90.00 111.12 90.00
Space group C2/m (No. 12)
Inequivalent atoms, fractional coordinates:
1 In 0.000 0.000 0.000 [2 per cell]
2 Mo 0.250 0.250 0.500 [4 per cell]
3 Se 0.000 0.500 0.000 [2 per cell]

Summary:
* raw formation energy: 0.5762 eV per atom
* density: 9.37 g cm⁻³
* DOS at the Fermi energy: 4.05 states/eV/f.u.

No. 18
Entry from Alexandria via LeMat-Bulk: an optimized crystal structure of InMoSe2 (PBEsol).

Lattice parameters (Å, degrees): 3.300 3.321 7.729 90.00 90.00 90.00
Space group Pmmm (No. 47)
Inequivalent atoms, fractional coordinates:
1 In 0.000 0.000 0.000 [1 per cell]
2 Mo 0.500 0.000 0.500 [1 per cell]
3 Se 0.500 0.500 0.263 [2 per cell]

Summary:
* raw formation energy: 0.0682 eV per atom
* density: 7.23 g cm⁻³
* DOS at the Fermi energy: 2.61 states/eV/f.u.

No. 19
Entry from Alexandria via LeMat-Bulk: an optimized crystal structure of InMo2Se (PBEsol).

Lattice parameters (Å, degrees): 4.154 4.154 7.897 90.00 90.00 90.00
Space group I-4m2 (No. 119)
Inequivalent atoms, fractional coordinates:
1 In 0.000 0.000 0.000 [2 per cell]
2 Mo 0.000 0.000 0.500 [2 per cell]
3 Mo 0.000 0.500 0.250 [2 per cell]
4 Se 0.000 0.500 0.750 [2 per cell]

Summary:
* raw formation energy: 0.5256 eV per atom
* density: 9.40 g cm⁻³
* DOS at the Fermi energy: 4.55 states/eV/f.u.

No. 20
Entry from Alexandria via LeMat-Bulk: an optimized crystal structure of In2MoSe (PBEsol).

Lattice parameters (Å, degrees): 3.489 4.692 9.349 90.00 90.00 90.00
Space group Immm (No. 71)
Inequivalent atoms, fractional coordinates:
1 In 0.000 0.000 0.248 [4 per cell]
2 Mo 0.000 0.500 0.500 [2 per cell]
3 Se 0.000 0.500 0.000 [2 per cell]

Summary:
* raw formation energy: 0.3753 eV per atom
* density: 8.78 g cm⁻³
* DOS at the Fermi energy: 3.64 states/eV/f.u.